The following is a PBEsol calculation of a relaxed structure of Zn3In4, from the Alexandria database.

The formation energy comes out at 0.07 eV/atom. As for the total magnetization: 0.0 μB per cell.

It has space group P6/mmm (No. 191), with a = 5.1228 Å, b = 5.1228 Å, c = 6.4157 Å, α = 90.00°, β = 90.00° and γ = 120.00°. Symmetry generates all atoms from Zn at (0.0000, 0.5000, 0.0000), In at (0.0000, 0.0000, 0.2512) and In at (0.3333, 0.6667, 0.5000).

***

The following is a PBEsol calculation of a relaxed structure of Mn2TcCl, from the Alexandria database.

For the energy above the most stable polymorph in this dataset, the calculation gives 0.00 kcal/mol of atoms. As for the uncorrected formation energy: 0.180 eV/atom. As for the total magnetization: 5.7 μB per cell.

It has space group Pmmm (No. 47), with a = 2.865 Å, b = 2.903 Å, c = 7.140 Å, α = 90.00°, β = 90.00° and γ = 90.00°. Symmetry generates all atoms from Mn at (0.000, 0.000, 0.221), Tc at (0.500, 0.500, 0.000) and Cl at (0.500, 0.000, 0.500).

***

The following is a PBEsol calculation of a relaxed structure of Ca2MgAu, from the Alexandria database.

The formation energy comes out at -0.43 eV/atom. As for the total magnetization: 0.0 μB per cell.

It has space group P4/mmm (No. 123), with a = 3.604 Å, b = 3.604 Å, c = 8.140 Å, α = 90.00°, β = 90.00° and γ = 90.00°. Symmetry generates all atoms from Ca at (0.000, 0.000, 0.212), Mg at (0.500, 0.500, 0.500) and Au at (0.500, 0.500, 0.000).

***

| no. | ρ (Mg/m³) | final energy (eV per cell) |
| --- | --- | --- |
| 1 | 7.5 | -16.2 |
| 2 | 6.8 | -32.1 |
| 3 | 4.7 | -11.6 |